Below is a relaxed NbCoAsO crystal, with properties calculated at the PBE+U level. Values from VASP.

Values from the calculation:
The value obtained for the energy above the most stable polymorph in this dataset is 454 meV/atom. As for the total magnetization: 2.97 μB per formula unit.

Geometry as Quantum ESPRESSO input:
```
&SYSTEM
  ibrav = 0, nat = 8, ntyp = 4
/
ATOMIC_SPECIES
Nb 92.91 Nb.upf
Co 58.93 Co.upf
As 74.92 As.upf
O 16.00 O.upf
ATOMIC_POSITIONS angstrom
Nb 1.015 3.045 0.000
Nb 3.045 1.015 0.000
Co 1.015 1.015 4.456
Co 3.045 3.045 4.787
As 1.015 1.015 1.619
As 3.045 3.045 7.624
O 1.015 3.045 4.621
O 3.045 1.015 4.621
CELL_PARAMETERS angstrom
4.060 0.000 0.000
0.000 4.060 0.000
0.000 0.000 9.243
```